[1]
Density functional theory data (GGA-PBE) for a relaxed structure of PrSnBiPb.

Structure (extended XYZ):
```
4
Lattice="5.609 0.000 0.000 2.805 4.858 0.000 2.805 1.619 4.580" Properties=species:S:1:pos:R:3 pbc="T T T"
Pr 0.000 0.000 0.000
Pb 5.609 3.239 2.290
Sn 2.805 1.619 1.145
Bi 8.414 4.858 3.435
```

Properties
symmetry = F-43m

[2]
Density functional theory data (GGA-PBE) for a relaxed structure of ZnOs2Pt.

Structure (extended XYZ):
```
4
Lattice="-1.815 -3.937 1.983 0.323 -4.732 0.472 2.669 -0.221 3.893" Properties=species:S:1:pos:R:3 pbc="T T T"
Os 0.574 -4.439 3.150
Os 0.015 -0.006 0.024
Zn 0.294 -2.223 1.587
Pt 0.883 -6.668 4.762
```

Properties
symmetry = C2/m

[3]
Density functional theory data (GGA-PBE) for a relaxed structure of DyPu2Tl.

Structure (extended XYZ):
```
4
Lattice="-3.038 -4.206 1.543 1.870 -3.475 3.705 -2.170 -0.097 4.958" Properties=species:S:1:pos:R:3 pbc="T T T"
Pu -0.834 -1.944 2.551
Pu -2.503 -5.833 7.654
Dy 0.000 0.000 0.000
Tl -1.669 -3.889 5.103
```

Properties
symmetry = Fm-3m

Which formation enthalpy at 0 K belongs to each record? In order, -0.27, 0.15, 0.19 eV/atom.